Entry 1:
The following is a DFT calculation (meta-GGA SCAN) of a crystal of LiMoN2 relaxed with PBEsol.

- DOS at the Fermi energy: 0.63 states/eV/atom
- ΔE_f (raw): -247 kJ/mol of formula units
- Offset from the most stable computed form: 0.0 kJ/mol of formula units

```
4
Lattice="-1.5937 2.2563 -0.7987 -2.2418 -0.3746 -1.7614 -4.4248 -0.1212 3.3103" Properties=species:S:1:pos:R:3 pbc="T T T"
Mo -3.3197 1.0731 -0.6974
N -5.3193 1.5288 -0.5965
N -3.8672 1.8742 -2.5182
Li -4.9477 0.6858 1.4571
```

---

Entry 2:
The following is a DFT calculation (meta-GGA SCAN) of a crystal of NaLi2Mo relaxed with PBEsol.

- DOS at the Fermi energy: 0.51 states/eV/atom
- Energy relative to the elements: 858 meV per atom

```
4
Lattice="-0.3628 4.7869 0.8607 -3.8771 2.4807 -1.6127 -3.3184 1.6643 3.1631" Properties=species:S:1:pos:R:3 pbc="T T T"
Mo -3.7792 4.4660 1.2055
Li -1.8896 2.2330 0.6028
Li -5.6687 6.6989 1.8083
Na 0.0000 0.0000 0.0000
```

---

Entry 3:
The following is a DFT calculation (meta-GGA SCAN) of a crystal of NaLi2Mo2P3O14 relaxed with PBEsol.

- ΔE_f (raw): -5096 kJ/mol of formula units

```
88
Lattice="8.1183 0.0000 0.0000 4.0592 7.8483 -0.0015 4.0592 2.3493 16.9282" Properties=species:S:1:pos:R:3 pbc="T T T"
P 7.1826 8.0770 16.7339
P 8.5411 3.8778 10.3469
P 8.5411 3.5703 15.0446
P 7.2917 7.9017 11.7395
P 7.6956 6.3197 6.5798
P 4.8858 2.8029 3.2761
P 11.2418 7.2194 8.6561
P 9.0540 2.1206 0.1928
P 8.9450 2.2958 5.1872
P 11.3508 7.3946 13.6506
P 7.6956 6.6273 1.8821
P 4.9949 2.9782 8.2706
O 6.6341 5.7692 5.6334
O 9.2215 2.7021 1.6087
O 5.1624 2.3967 6.8546
O 8.8217 7.6863 1.7820
O 10.5240 7.6886 14.9440
O 7.9502 4.8649 14.3867
O 9.0689 3.9376 16.4380
O 9.6026 4.4283 11.2933
O 6.4649 7.6078 10.4461
O 11.2934 8.6572 12.7221
O 12.7571 7.1037 8.3565
O 8.2865 7.6144 5.9219
O 3.3945 2.9108 2.8965
O 8.8217 5.2607 6.6799
O 7.4149 2.5113 15.1447
O 9.0025 3.5584 4.2588
O 5.7127 2.5090 1.9827
O 5.6441 2.1192 9.3403
O 11.5928 4.7263 6.4265
O 8.7031 9.8251 14.8898
O 1.3883 1.0713 4.4854
O 4.6388 5.8433 0.1054
O 5.4475 4.0275 3.9779
O 7.5336 0.3725 2.0369
O 4.6439 5.4713 10.5002
O 3.4796 3.0939 8.5702
O 6.6341 7.1778 2.8285
O 7.1678 6.6871 7.9732
O 14.8484 9.1263 12.4413
O 7.4149 4.9369 10.2468
O 7.1678 6.2600 0.4887
O 5.6490 4.3861 8.1750
O 5.2480 2.6857 11.9362
O 5.2480 4.7624 13.4554
O 7.0151 7.4955 15.3180
O 10.9887 7.5119 4.9905
O 10.5877 5.8115 8.7517
O 11.5979 4.3542 16.8213
O 11.0743 7.8009 10.0721
O 1.5899 0.7127 0.2884
O 14.6468 9.4849 16.6383
O 10.7892 6.1700 12.9488
O 10.5926 4.8686 0.8754
O 9.7718 2.5898 6.4807
O 8.7830 8.0096 11.3599
O 5.6441 5.3290 16.0513
O 9.0689 3.5105 8.9535
O 8.2864 5.3327 2.5400
O 12.8421 7.2867 14.0302
O 10.5926 8.0784 7.5864
O 7.4537 2.1880 5.5668
O 10.9887 5.4352 3.4713
O 7.2342 6.6391 12.6679
O 4.9433 1.5404 4.2046
O 9.6026 3.0198 14.0982
O 7.9502 2.5832 11.0048
Na 6.0888 3.9241 -0.0007
Na 2.0296 1.1747 8.4641
Na 4.8187 6.4735 4.2309
Na 11.4180 3.7241 12.6958
Li 10.8047 5.9356 10.9342
Li 1.3728 0.8368 2.4709
Li 5.4320 4.2619 5.9925
Li 14.8639 9.3607 14.4558
Li 7.2885 8.3200 4.3400
Li 8.9482 1.8776 12.5867
Li 7.2885 4.6270 4.1219
Li 8.9482 5.5705 12.8048
Mo 5.9178 5.9086 9.4781
Mo 6.1994 5.8957 14.2245
Mo 9.9770 9.3878 15.9119
Mo 10.3189 4.2890 7.4486
Mo 10.0373 4.3019 2.7022
Mo 6.1994 1.5524 11.1671
Mo 10.0373 8.6452 5.7597
Mo 6.2597 0.8098 1.0148
```

---

Entry 4:
The following is a DFT calculation (meta-GGA SCAN) of a crystal of NaLi2MoPd relaxed with PBEsol.

- DOS at the Fermi energy: 0.39 states/eV/atom
- Energy relative to the elements: 537 meV per atom

```
5
Lattice="-2.8834 3.3133 1.9020 -3.0751 -0.5236 -3.7497 -2.3876 -3.4808 2.4441" Properties=species:S:1:pos:R:3 pbc="T T T"
Li -1.5375 -0.2618 -1.8748
Li -1.1938 -1.7404 1.2220
Na -4.1730 -0.3455 0.2982
Mo -1.4417 1.6566 0.9510
Pd 0.0000 0.0000 0.0000
```

---

Entry 5:
The following is a DFT calculation (meta-GGA SCAN) of a crystal of LiNi2Mo relaxed with PBEsol.

- DOS at the Fermi energy: 0.76 states/eV/atom
- Energy relative to the elements: 210 meV per atom
- Offset from the most stable computed form: 54.3 kJ/mol of formula units

```
4
Lattice="2.5042 0.2724 0.0000 -0.2735 2.5041 0.0000 0.0000 0.0000 7.7843" Properties=species:S:1:pos:R:3 pbc="T T T"
Li 0.0000 0.0000 4.1453
Ni 1.1154 1.3882 5.9653
Ni 0.0000 0.0000 7.6209
Mo 1.1154 1.3882 1.7292
```

---

Entry 6:
The following is a DFT calculation (meta-GGA SCAN) of a crystal of LiNiMo2 relaxed with PBEsol.

- DOS at the Fermi energy: 0.87 states/eV/atom
- Energy relative to the elements: 414 meV per atom
- Offset from the most stable computed form: 45.0 kJ/mol of formula units

```
4
Lattice="-0.2096 0.8102 -2.3769 1.0652 -4.4016 -1.5944 -4.7920 0.6744 0.6525" Properties=species:S:1:pos:R:3 pbc="T T T"
Li -1.8634 -1.8636 -0.4709
Mo 0.4278 -1.7957 -1.9856
Mo 0.0000 0.0000 0.0000
Ni -2.5008 0.7423 -0.8622
```

---

Entry 7:
The following is a DFT calculation (meta-GGA SCAN) of a crystal of LiNi2Mo relaxed with PBEsol.

- DOS at the Fermi energy: 0.42 states/eV/atom
- Energy relative to the elements: 70 meV per atom
- Offset from the most stable computed form: 0.0 kJ/mol of formula units

```
4
Lattice="-2.2921 0.8591 -0.9817 -1.1665 -2.2382 0.7650 -1.4977 2.8190 5.9640" Properties=species:S:1:pos:R:3 pbc="T T T"
Ni -0.3571 0.6721 1.4220
Ni -1.1406 2.1469 4.5420
Li -1.7293 -0.6895 -0.1084
Mo -2.4782 0.7200 2.8737
```

---

Entry 8:
The following is a DFT calculation (meta-GGA SCAN) of a crystal of LiNi2Mo relaxed with PBEsol.

- DOS at the Fermi energy: 1.15 states/eV/atom
- Energy relative to the elements: 236 meV per atom
- Offset from the most stable computed form: 64.1 kJ/mol of formula units

```
4
Lattice="-3.3536 -2.1912 0.0360 0.0614 -3.7782 -1.3308 -0.3791 -3.0396 2.5820" Properties=species:S:1:pos:R:3 pbc="T T T"
Ni 0.0000 0.0000 0.0000
Ni -2.7535 -6.7567 0.9655
Mo -0.9178 -2.2522 0.3218
Li -1.8357 -4.5045 0.6436
```

---

Entry 9:
The following is a DFT calculation (meta-GGA SCAN) of a crystal of LiNiMo2 relaxed with PBEsol.

- DOS at the Fermi energy: 0.79 states/eV/atom
- Energy relative to the elements: 298 meV per atom
- Offset from the most stable computed form: 0.0 kJ/mol of formula units

```
4
Lattice="-2.0820 1.5820 2.4622 -2.2655 -2.7842 -0.1267 4.2524 -1.2237 1.7624" Properties=species:S:1:pos:R:3 pbc="T T T"
Ni -2.1737 -0.6011 1.1677
Mo -0.0016 -0.1214 2.6962
Mo -0.0934 -2.3045 1.4017
Li 0.0000 0.0000 0.0000
```

---

Entry 10:
The following is a DFT calculation (meta-GGA SCAN) of a crystal of LiNi6Mo relaxed with PBEsol.

- DOS at the Fermi energy: 0.43 states/eV/atom
- Energy relative to the elements: -10 meV per atom

```
32
Lattice="6.0972 -0.0069 0.0000 -2.0359 5.7473 0.0000 0.0000 0.0000 9.9819" Properties=species:S:1:pos:R:3 pbc="T T T"
Ni 0.0000 0.0000 4.9909
Ni 2.0254 0.7053 3.7466
Ni -0.0009 4.3075 2.4953
Ni 4.0622 1.4328 7.4866
Ni 2.0356 5.0254 8.7356
Ni 2.0359 5.0350 3.7466
Ni 2.0356 5.0254 1.2462
Ni 2.0257 0.7149 1.2462
Ni 2.0307 2.8702 0.0000
Ni 4.0703 3.5956 6.2353
Ni 2.0254 0.7053 6.2353
Ni 4.0622 1.4328 2.4953
Ni -0.0090 2.1447 6.2353
Ni 4.0703 3.5956 3.7466
Ni -0.0001 2.1481 1.2462
Ni -0.0001 2.1481 8.7356
Ni 4.0614 3.5922 8.7356
Ni -0.0009 4.3075 7.4866
Ni 4.0614 3.5922 1.2462
Ni 2.0257 0.7149 8.7356
Ni 0.0000 0.0000 0.0000
Ni -0.0090 2.1447 3.7466
Ni 2.0359 5.0350 6.2353
Ni 2.0307 2.8702 4.9909
Li 0.0000 0.0000 2.5353
Li 0.0000 0.0000 7.4466
Li 0.0374 4.2804 4.9909
Li 4.0239 1.4600 4.9909
Mo 2.0307 2.8702 2.6030
Mo 4.0457 1.4445 0.0000
Mo 2.0307 2.8702 7.3788
Mo 0.0156 4.2958 0.0000
```

---

Entry 11:
The following is a DFT calculation (meta-GGA SCAN) of a crystal of LiNiMo2 relaxed with PBEsol.

- DOS at the Fermi energy: 0.88 states/eV/atom
- Energy relative to the elements: 316 meV per atom
- Offset from the most stable computed form: 6.9 kJ/mol of formula units

```
4
Lattice="3.0993 0.0000 0.0000 0.0000 4.0001 0.0000 0.0000 0.0000 4.2486" Properties=species:S:1:pos:R:3 pbc="T T T"
Mo 0.0000 0.0000 0.0000
Mo 1.5496 2.0001 0.0000
Ni 1.5496 0.0000 2.1243
Li 0.0000 2.0001 2.1243
```

---

Entry 12:
The following is a DFT calculation (meta-GGA SCAN) of a crystal of LiNiMo2 relaxed with PBEsol.

- DOS at the Fermi energy: 0.95 states/eV/atom
- Energy relative to the elements: 369 meV per atom
- Offset from the most stable computed form: 27.5 kJ/mol of formula units

```
4
Lattice="-3.6967 1.9847 -0.4183 -3.4928 -2.2050 -0.8475 -2.9789 -0.4473 2.9506" Properties=species:S:1:pos:R:3 pbc="T T T"
Mo -7.6263 -0.5007 1.2636
Mo 0.0000 0.0000 0.0000
Ni -2.5421 -0.1669 0.4212
Li -5.0842 -0.3338 0.8424
```